# PBE-GGA FeIrPt, relaxed
data_FeIrPt
_chemical_formula_sum 'Fe1 Ir1 Pt1'
_cell_length_a 6.015
_cell_length_b 6.015
_cell_length_c 2.717
_cell_angle_alpha 76.94
_cell_angle_beta 76.94
_cell_angle_gamma 26.11
_symmetry_space_group_name_H-M 'P 1'
_symmetry_Int_Tables_number 1
loop_
_symmetry_equiv_pos_as_xyz
'x,y,z'
loop_
_atom_site_label
_atom_site_type_symbol
_atom_site_fract_x
_atom_site_fract_y
_atom_site_fract_z
Fe1 Fe 0.997 0.996 0.003
Ir1 Ir 0.343 0.343 0.657
Pt1 Pt 0.661 0.661 0.339
# Energy relative to the lowest polymorph listed for this composition: 0.00 eV per formula unit
# Total DFT energy (no corrections): -23.61 eV/cell
# Formation enthalpy at 0 K: -0.0804 eV/atom
# Space group: I4mm, No. 107

=====

# PBE-GGA Cs4BiI6, relaxed
data_Cs4BiI6
_chemical_formula_sum 'Cs8 Bi2 I12'
_cell_length_a 10.483
_cell_length_b 10.483
_cell_length_c 10.646
_cell_angle_alpha 90.00
_cell_angle_beta 90.00
_cell_angle_gamma 90.00
_symmetry_space_group_name_H-M 'P 1'
_symmetry_Int_Tables_number 1
loop_
_symmetry_equiv_pos_as_xyz
'x,y,z'
loop_
_atom_site_label
_atom_site_type_symbol
_atom_site_fract_x
_atom_site_fract_y
_atom_site_fract_z
Cs1 Cs 0.338 0.162 0.250
Cs2 Cs 0.162 0.662 0.750
Cs3 Cs 0.662 0.838 0.750
Cs4 Cs 0.838 0.338 0.750
Cs5 Cs 0.338 0.162 0.750
Cs6 Cs 0.162 0.662 0.250
Cs7 Cs 0.838 0.338 0.250
Cs8 Cs 0.662 0.838 0.250
Bi1 Bi 0.500 0.500 0.000
Bi2 Bi 0.000 0.000 0.500
I1 I 0.313 0.890 0.500
I2 I 0.813 0.610 0.000
I3 I 0.610 0.187 0.000
I4 I 0.110 0.313 0.500
I5 I 0.000 0.000 0.209
I6 I 0.500 0.500 0.291
I7 I 0.390 0.813 0.000
I8 I 0.000 0.000 0.791
I9 I 0.187 0.390 0.000
I10 I 0.500 0.500 0.709
I11 I 0.890 0.687 0.500
I12 I 0.687 0.110 0.500
# Total DFT energy (no corrections): -58.51 eV/cell
# E_form (uncorrected): -1222 kJ/mol of formula units
# Space group: P4/mnc, No. 128

=====

# PBE-GGA Tb2MgSc, relaxed
data_Tb2MgSc
_chemical_formula_sum 'Tb2 Mg1 Sc1'
_cell_length_a 3.370
_cell_length_b 3.370
_cell_length_c 12.096
_cell_angle_alpha 81.99
_cell_angle_beta 81.99
_cell_angle_gamma 60.00
_symmetry_space_group_name_H-M 'P 1'
_symmetry_Int_Tables_number 1
loop_
_symmetry_equiv_pos_as_xyz
'x,y,z'
loop_
_atom_site_label
_atom_site_type_symbol
_atom_site_fract_x
_atom_site_fract_y
_atom_site_fract_z
Sc1 Sc 0.500 0.500 0.500
Mg1 Mg 0.000 0.000 0.000
Tb1 Tb 0.091 0.091 0.726
Tb2 Tb 0.909 0.909 0.274
# Energy relative to the lowest polymorph listed for this composition: 0.76 eV per formula unit
# Total DFT energy (no corrections): -16.46 eV/cell
# Formation enthalpy at 0 K: 0.1818 eV/atom
# Space group: R-3m, No. 166

=====

# PBE-GGA Pr7Tl5In, relaxed
data_Pr7Tl5In
_chemical_formula_sum 'Pr7 Tl5 In1'
_cell_length_a 6.832
_cell_length_b 8.539
_cell_length_c 8.539
_cell_angle_alpha 79.44
_cell_angle_beta 66.42
_cell_angle_gamma 66.42
_symmetry_space_group_name_H-M 'P 1'
_symmetry_Int_Tables_number 1
loop_
_symmetry_equiv_pos_as_xyz
'x,y,z'
loop_
_atom_site_label
_atom_site_type_symbol
_atom_site_fract_x
_atom_site_fract_y
_atom_site_fract_z
Pr1 Pr 0.616 0.384 0.384
Pr2 Pr 0.255 0.745 0.745
Pr3 Pr 0.008 0.311 0.673
Pr4 Pr 0.008 0.673 0.311
Pr5 Pr 0.285 0.215 0.215
Pr6 Pr 0.525 0.800 0.150
Pr7 Pr 0.525 0.150 0.800
Tl1 Tl 0.523 0.998 0.475
Tl2 Tl 0.003 0.998 0.475
Tl3 Tl 0.523 0.475 0.998
Tl4 Tl 0.003 0.475 0.998
Tl5 Tl 0.769 0.731 0.731
In1 In 0.956 0.044 0.044
# Total DFT energy (no corrections): -50.83 eV/cell
# Formation enthalpy at 0 K: -0.2158 eV/atom
# Space group: Imm2, No. 44

=====

# PBE-GGA MgAl2Rh, relaxed
data_MgAl2Rh
_chemical_formula_sum 'Mg1 Al2 Rh1'
_cell_length_a 4.788
_cell_length_b 4.788
_cell_length_c 4.771
_cell_angle_alpha 77.64
_cell_angle_beta 77.64
_cell_angle_gamma 36.54
_symmetry_space_group_name_H-M 'P 1'
_symmetry_Int_Tables_number 1
loop_
_symmetry_equiv_pos_as_xyz
'x,y,z'
loop_
_atom_site_label
_atom_site_type_symbol
_atom_site_fract_x
_atom_site_fract_y
_atom_site_fract_z
Al1 Al 0.981 0.981 0.029
Al2 Al 0.519 0.519 0.471
Mg1 Mg 0.750 0.750 0.750
Rh1 Rh 0.250 0.250 0.250
# Total DFT energy (no corrections): -18.31 eV/cell
# Formation enthalpy at 0 K: -0.4689 eV/atom
# Space group: C2/m, No. 12

=====

# PBE-GGA Tm4FeSb2, relaxed
data_Tm4FeSb2
_chemical_formula_sum 'Tm8 Fe2 Sb4'
_cell_length_a 8.047
_cell_length_b 8.046
_cell_length_c 8.047
_cell_angle_alpha 127.16
_cell_angle_beta 101.63
_cell_angle_gamma 101.21
_symmetry_space_group_name_H-M 'P 1'
_symmetry_Int_Tables_number 1
loop_
_symmetry_equiv_pos_as_xyz
'x,y,z'
loop_
_atom_site_label
_atom_site_type_symbol
_atom_site_fract_x
_atom_site_fract_y
_atom_site_fract_z
Tm1 Tm 0.928 0.182 0.255
Tm2 Tm 0.322 0.568 0.246
Tm3 Tm 0.928 0.673 0.745
Tm4 Tm 0.816 0.078 0.739
Tm5 Tm 0.339 0.077 0.261
Tm6 Tm 0.322 0.077 0.754
Tm7 Tm 0.434 0.673 0.762
Tm8 Tm 0.911 0.672 0.238
Fe1 Fe 0.132 0.632 0.500
Fe2 Fe 0.118 0.118 0.000
Sb1 Sb 0.625 0.375 0.750
Sb2 Sb 0.625 0.875 0.250
Sb3 Sb 0.625 0.374 0.249
Sb4 Sb 0.125 0.376 0.751
# Total DFT energy (no corrections): -74.27 eV/cell
# E_form (uncorrected): -245 kJ/mol of formula units
# Space group: I2_12_12_1, No. 24

=====

# PBE-GGA Sc2V2Sn, relaxed
data_Sc2V2Sn
_chemical_formula_sum 'Sc4 V4 Sn2'
_cell_length_a 6.998
_cell_length_b 6.998
_cell_length_c 3.933
_cell_angle_alpha 90.00
_cell_angle_beta 90.00
_cell_angle_gamma 90.00
_symmetry_space_group_name_H-M 'P 1'
_symmetry_Int_Tables_number 1
loop_
_symmetry_equiv_pos_as_xyz
'x,y,z'
loop_
_atom_site_label
_atom_site_type_symbol
_atom_site_fract_x
_atom_site_fract_y
_atom_site_fract_z
Sc1 Sc 0.173 0.673 0.500
Sc2 Sc 0.673 0.827 0.500
Sc3 Sc 0.827 0.327 0.500
Sc4 Sc 0.327 0.173 0.500
Sn1 Sn 0.000 0.000 0.000
Sn2 Sn 0.500 0.500 0.000
V1 V 0.382 0.882 0.000
V2 V 0.882 0.618 0.000
V3 V 0.618 0.118 0.000
V4 V 0.118 0.382 0.000
# Total DFT energy (no corrections): -70.25 eV/cell
# Formation enthalpy at 0 K: -0.0440 eV/atom
# Space group: P4/mbm, No. 127

=====

# PBE-GGA LaCoAu, relaxed
data_LaCoAu
_chemical_formula_sum 'La1 Co1 Au1'
_cell_length_a 4.395
_cell_length_b 4.395
_cell_length_c 4.013
_cell_angle_alpha 90.00
_cell_angle_beta 90.00
_cell_angle_gamma 120.00
_symmetry_space_group_name_H-M 'P 1'
_symmetry_Int_Tables_number 1
loop_
_symmetry_equiv_pos_as_xyz
'x,y,z'
loop_
_atom_site_label
_atom_site_type_symbol
_atom_site_fract_x
_atom_site_fract_y
_atom_site_fract_z
Au1 Au 0.000 0.000 0.167
Co1 Co 0.667 0.333 0.167
La1 La 0.333 0.667 0.667
# Total DFT energy (no corrections): -16.31 eV/cell
# Formation enthalpy at 0 K: -0.3316 eV/atom
# Space group: P-6m2, No. 187